First-principles (GGA-PBE) data for a relaxed Cs3Sn2I3Br4 crystal, as listed in the Alexandria database.

Lattice parameters (Å, degrees): 15.997 15.997 15.997 157.40 31.23 158.73
Positions (direct):
Cs  0.000  0.000  0.000
Cs  0.182  0.998  0.183
Cs  0.815  0.998  0.817
Sn  0.395  0.001  0.394
Sn  0.607  0.001  0.606
I  0.401  0.499  0.902
I  0.501  0.001  0.500
I  0.597  0.499  0.098
Br  0.107  0.500  0.607
Br  0.301  0.001  0.300
Br  0.700  0.001  0.700
Br  0.893  0.500  0.393

Properties
Formation energy without anion corrections ... -1.192 eV/atom
Symmetry ... Imm2 (44)
Total energy ... -3.018 eV/atom